Record 1
The following is a PBE calculation of an optimized crystal structure of Tb5ZrIr6, from the Alexandria database.

a = 4.749 Å, b = 7.081 Å, c = 7.532 Å
α = 90.00°, β = 71.55°, γ = 90.00°
Sites, in units of the cell vectors:
Ir 0.839 0.756 0.321
Ir 0.839 0.244 0.321
Ir 0.500 0.233 0.000
Ir 0.500 0.767 0.000
Ir 0.161 0.756 0.679
Ir 0.161 0.244 0.679
Tb 0.666 0.500 0.667
Tb 0.332 0.000 0.336
Tb 0.000 0.500 0.000
Tb 0.668 0.000 0.664
Tb 0.334 0.500 0.333
Zr 0.000 0.000 0.000

Computed properties:
Its volume is 240.3 Å³/cell. The calculation puts the formation enthalpy at 0 K at -0.788 eV/atom.

***

Record 2
The following is a PBE calculation of an optimized crystal structure of DyTiZnIn, from the Alexandria database.

a = 4.912 Å, b = 4.912 Å, c = 4.912 Å
α = 60.00°, β = 60.00°, γ = 60.00°
Sites, in units of the cell vectors:
Zn 0.500 0.500 0.500
In 0.000 0.000 0.000
Ti 0.250 0.250 0.250
Dy 0.750 0.750 0.750

Computed properties:
Its volume is 83.8 Å³/cell. The calculation puts the formation enthalpy at 0 K at -0.169 eV/atom.

***

Record 3
The following is a PBE calculation of an optimized crystal structure of La2YPb, from the Alexandria database.

a = 6.361 Å, b = 6.361 Å, c = 5.941 Å
α = 81.71°, β = 81.71°, γ = 32.78°
Sites, in units of the cell vectors:
La 0.014 0.014 0.980
La 0.486 0.486 0.520
Pb 0.750 0.750 0.750
Y 0.250 0.250 0.250

Computed properties:
Its volume is 128.7 Å³/cell. The calculation puts the formation enthalpy at 0 K at -0.228 eV/atom.

***

Record 4
The following is a PBE calculation of an optimized crystal structure of NdDyTlCo, from the Alexandria database.

a = 5.199 Å, b = 5.199 Å, c = 5.199 Å
α = 60.00°, β = 60.00°, γ = 60.00°
Each line ends with the local moment (μB).
Sites, in units of the cell vectors:
Co 0.000 0.000 0.000  1.51
Tl 0.500 0.500 0.500  0.04
Nd 0.750 0.750 0.750  -0.08
Dy 0.250 0.250 0.250  -0.13

Computed properties:
Its volume is 99.4 Å³/cell. The calculation puts the formation enthalpy at 0 K at -0.076 eV/atom.

***

Record 5
The following is a PBE calculation of an optimized crystal structure of LiTbDyHo, from the Alexandria database.

a = 5.466 Å, b = 5.466 Å, c = 5.466 Å
α = 60.00°, β = 60.00°, γ = 60.00°
Sites, in units of the cell vectors:
Li 0.000 0.000 0.000
Tb 0.750 0.750 0.750
Ho 0.500 0.500 0.500
Dy 0.250 0.250 0.250

Computed properties:
Its volume is 115.5 Å³/cell. The calculation puts the formation enthalpy at 0 K at 0.174 eV/atom.

***

Record 6
The following is a PBE calculation of an optimized crystal structure of NaTl2Cu2, from the Alexandria database.

a = 7.866 Å, b = 7.866 Å, c = 3.382 Å
α = 90.00°, β = 90.00°, γ = 90.00°
Sites, in units of the cell vectors:
Na 0.000 0.000 0.000
Na 0.500 0.500 0.000
Tl 0.177 0.677 0.500
Tl 0.677 0.823 0.500
Tl 0.823 0.323 0.500
Tl 0.323 0.177 0.500
Cu 0.385 0.885 0.000
Cu 0.885 0.615 0.000
Cu 0.615 0.115 0.000
Cu 0.115 0.385 0.000

Computed properties:
Its volume is 209.3 Å³/cell. The calculation puts the formation enthalpy at 0 K at 0.156 eV/atom.

***

Record 7
The following is a PBE calculation of an optimized crystal structure of Na2TlCuCl4, from the Alexandria database.

a = 4.031 Å, b = 7.182 Å, c = 14.398 Å
α = 90.00°, β = 90.00°, γ = 106.30°
Each line ends with the local moment (μB).
Sites, in units of the cell vectors:
Na 0.374 0.747 0.551  0.00
Na 0.626 0.253 0.051  0.00
Na 0.626 0.253 0.449  0.00
Na 0.374 0.747 0.949  0.00
Tl 0.116 0.232 0.750  0.00
Tl 0.884 0.768 0.250  0.00
Cu 0.830 0.661 0.750  0.06
Cu 0.170 0.339 0.250  0.06
Cl 0.262 0.523 0.115  0.00
Cl 0.738 0.477 0.615  0.00
Cl 0.738 0.477 0.885  0.00
Cl 0.262 0.523 0.385  0.00
Cl 0.000 0.000 0.500  0.00
Cl 0.000 0.000 0.000  0.00
Cl 0.422 0.844 0.750  0.01
Cl 0.578 0.156 0.250  0.01

Computed properties:
Its volume is 400.1 Å³/cell. For the uncorrected energy, the calculation gives -3.3097 eV per atom.

***

Record 8
The following is a PBE calculation of an optimized crystal structure of Cs3Sr, from the Alexandria database.

a = 7.198 Å, b = 7.198 Å, c = 7.198 Å
α = 90.00°, β = 90.00°, γ = 90.00°
Sites, in units of the cell vectors:
Cs 0.000 0.500 0.500
Cs 0.500 0.000 0.500
Cs 0.500 0.500 0.000
Sr 0.000 0.000 0.000

Computed properties:
Its volume is 373.0 Å³/cell. The calculation puts the formation enthalpy at 0 K at 0.138 eV/atom.

***

Record 9
The following is a PBE calculation of an optimized crystal structure of ZrAlMoSe2, from the Alexandria database.

a = 4.818 Å, b = 5.307 Å, c = 4.818 Å
α = 90.00°, β = 90.00°, γ = 90.00°
Sites, in units of the cell vectors:
Mo 0.000 0.000 0.000
Se 0.000 0.000 0.500
Se 0.500 0.000 0.000
Zr 0.000 0.500 0.000
Al 0.500 0.500 0.500

Computed properties:
Its volume is 123.2 Å³/cell. For the uncorrected energy, the calculation gives -5.6189 eV per atom.

***

Record 10
The following is a PBE calculation of an optimized crystal structure of CrNi3N, from the Alexandria database.

a = 4.213 Å, b = 4.213 Å, c = 4.213 Å
α = 90.00°, β = 90.00°, γ = 90.00°
Each line ends with the local moment (μB).
Sites, in units of the cell vectors:
Ni 0.000 0.500 0.000  0.12
Ni 0.000 0.000 0.500  0.09
Ni 0.500 0.000 0.000  0.08
N 0.500 0.500 0.500  1.07
Cr 0.000 0.000 0.000  0.39

Computed properties:
Its volume is 74.8 Å³/cell. For the uncorrected energy, the calculation gives -4.8631 eV per atom.

***

Record 11
The following is a PBE calculation of an optimized crystal structure of Cs2U3InS8, from the Alexandria database.

a = 8.113 Å, b = 8.113 Å, c = 9.712 Å
α = 65.31°, β = 65.31°, γ = 60.00°
Each line ends with the local moment (μB).
Sites, in units of the cell vectors:
Cs 0.137 0.137 0.588  0.00
Cs 0.497 0.497 0.510  0.00
U 0.497 0.999 0.007  1.78
U 0.999 0.497 0.007  1.78
U 0.497 0.497 0.007  1.78
In 0.891 0.891 0.327  -0.01
S 0.275 0.275 0.175  -0.06
S 0.718 0.718 0.845  -0.06
S 0.235 0.235 0.843  -0.06
S 0.687 0.235 0.843  -0.06
S 0.235 0.687 0.843  -0.06
S 0.763 0.298 0.176  -0.06
S 0.298 0.763 0.176  -0.06
S 0.763 0.763 0.176  -0.06

Computed properties:
Its volume is 485.0 Å³/cell. For the uncorrected energy, the calculation gives -6.3478 eV per atom.

***

Record 12
The following is a PBE calculation of an optimized crystal structure of Li2Mg3TiO6, from the Alexandria database.

a = 5.169 Å, b = 5.169 Å, c = 5.110 Å
α = 99.87°, β = 99.87°, γ = 119.85°
Sites, in units of the cell vectors:
Li 0.335 0.665 0.000
Li 0.665 0.335 0.000
Mg 0.172 0.828 0.500
Mg 0.828 0.172 0.500
Mg 0.500 0.500 0.500
Ti 0.000 0.000 0.000
O 0.917 0.602 0.748
O 0.770 0.770 0.241
O 0.083 0.398 0.252
O 0.602 0.917 0.748
O 0.230 0.230 0.759
O 0.398 0.083 0.252

Computed properties:
Its volume is 111.3 Å³/cell. For the uncorrected energy, the calculation gives -6.5005 eV per atom.